The following is a DFT calculation (PBE) of CoPt2Cl after structural relaxation.

Values from the calculation:
As for the total energy: -4.631 eV/atom. The uncorrected formation energy is 61 kJ per mole of atoms. The total moment is 0.62 μB per atom. The calculation puts the theoretical density at 13.110 g/cm³.

POSCAR file:
```
CoPt2Cl
1.0
4.866 -0.043 0.000
-1.699 4.560 0.000
0.000 0.000 2.775
Cl Co Pt
1 1 2
Cartesian
2.433 -0.021 1.387 Cl
-0.850 2.280 1.387 Co
1.584 2.259 0.000 Pt
0.000 0.000 0.000 Pt
```



The following is a DFT calculation (PBE) of CoPt2Cl after structural relaxation.

Values from the calculation:
As for the total energy: -4.771 eV/atom. The uncorrected formation energy is 47 kJ per mole of atoms. The total moment is 0.62 μB per atom. The calculation puts the theoretical density at 12.996 g/cm³.

POSCAR file:
```
CoPt2Cl
1.0
5.405 0.011 0.000
2.578 4.750 0.000
-3.307 -3.528 2.414
Cl Pt Co
1 2 1
Cartesian
3.639 2.171 0.000 Cl
0.249 0.149 0.000 Pt
3.080 -0.547 1.207 Pt
1.699 1.842 1.207 Co
```



The following is a DFT calculation (PBE) of CoPt2Cl after structural relaxation.

Values from the calculation:
As for the total energy: -4.935 eV/atom. The uncorrected formation energy is 31 kJ per mole of atoms. The total moment is 0.66 μB per atom. The calculation puts the theoretical density at 11.903 g/cm³.

POSCAR file:
```
CoPt2Cl
1.0
2.703 0.017 0.000
-1.345 2.345 0.000
0.000 0.000 10.628
Cl Pt Co
1 2 1
Cartesian
0.679 1.181 2.657 Cl
0.000 0.000 5.784 Pt
0.000 0.000 10.157 Pt
0.679 1.181 7.971 Co
```



The following is a DFT calculation (PBE) of CoPt2Cl after structural relaxation.

Values from the calculation:
As for the total energy: -4.587 eV/atom. The uncorrected formation energy is 65 kJ per mole of atoms. The total moment is 0.62 μB per atom. The calculation puts the theoretical density at 13.082 g/cm³.

POSCAR file:
```
CoPt2Cl
1.0
4.702 0.000 0.000
0.000 4.702 0.000
0.000 0.000 2.782
Pt Co Cl
2 1 1
Cartesian
2.351 2.351 0.000 Pt
0.000 0.000 0.000 Pt
0.000 2.351 1.391 Co
2.351 0.000 1.391 Cl
```



The following is a DFT calculation (PBE) of CoPt2Cl after structural relaxation.

Values from the calculation:
As for the total energy: -4.816 eV/atom. The uncorrected formation energy is 43 kJ per mole of atoms. The total moment is 0.71 μB per atom. The calculation puts the theoretical density at 12.744 g/cm³.

POSCAR file:
```
CoPt2Cl
1.0
4.755 0.000 0.000
0.000 2.886 0.001
0.000 0.027 4.602
Cl Co Pt
1 1 2
Cartesian
2.377 0.728 1.151 Cl
2.377 2.184 3.452 Co
0.000 2.894 4.575 Pt
0.000 1.475 2.329 Pt
```



The following is a DFT calculation (PBE) of CoPtCl6 after structural relaxation.

Values from the calculation:
As for the total energy: -3.441 eV/atom. The uncorrected formation energy is -40 kJ per mole of atoms. The total moment is 0.38 μB per atom. The calculation puts the theoretical density at 3.796 g/cm³.

POSCAR file:
```
CoPtCl6
1.0
5.918 0.155 0.780
1.307 5.077 2.856
0.032 -0.268 6.702
Co Cl Pt
1 6 1
Cartesian
0.000 0.000 0.000 Co
2.682 4.293 7.624 Cl
4.576 0.671 2.712 Cl
5.434 3.939 2.736 Cl
2.320 3.070 3.724 Cl
1.792 1.292 0.899 Cl
4.938 1.893 6.613 Cl
3.613 2.616 1.818 Pt
```



The following is a DFT calculation (PBE) of Co2PtCl after structural relaxation.

Values from the calculation:
As for the total energy: -4.988 eV/atom. The uncorrected formation energy is 52 kJ per mole of atoms. The total moment is 1.25 μB per atom. The calculation puts the theoretical density at 7.359 g/cm³.

POSCAR file:
```
Co2PtCl
1.0
-2.904 -3.751 2.951
4.520 -1.052 3.110
-0.574 1.209 6.260
Cl Co Pt
2 4 2
Cartesian
2.377 -1.122 6.201 Cl
0.808 -2.402 3.031 Cl
0.231 -0.907 7.006 Co
0.929 -3.283 9.962 Co
2.283 -0.870 3.914 Co
-1.358 -2.128 3.763 Co
-1.335 -2.472 6.121 Pt
0.000 0.000 0.000 Pt
```



The following is a DFT calculation (PBE) of CoPt2Cl after structural relaxation.

Values from the calculation:
As for the total energy: -4.632 eV/atom. The uncorrected formation energy is 60 kJ per mole of atoms. The total moment is 0.79 μB per atom. The calculation puts the theoretical density at 12.803 g/cm³.

POSCAR file:
```
CoPt2Cl
1.0
4.463 0.000 0.000
2.231 3.865 0.000
2.231 1.288 3.644
Pt Cl Co
2 1 1
Cartesian
0.000 0.000 0.000 Pt
2.231 1.288 0.911 Pt
4.463 2.577 1.822 Cl
6.694 3.865 2.733 Co
```



The following is a DFT calculation (PBE) of Co2PtCl after structural relaxation.

Values from the calculation:
As for the total energy: -5.314 eV/atom. The uncorrected formation energy is 20 kJ per mole of atoms. The total moment is 1.04 μB per atom. The calculation puts the theoretical density at 9.394 g/cm³.

POSCAR file:
```
Co2PtCl
1.0
9.195 0.052 0.031
8.752 2.820 0.031
8.752 1.400 2.448
Pt Co Cl
1 2 1
Cartesian
13.826 2.212 1.299 Pt
6.956 1.113 0.654 Co
26.605 4.257 2.500 Co
19.360 3.098 1.819 Cl
```



The following is a DFT calculation (PBE) of CoPtCl after structural relaxation.

Values from the calculation:
As for the total energy: -4.409 eV/atom. The uncorrected formation energy is 57 kJ per mole of atoms. The total moment is 0.79 μB per atom. The calculation puts the theoretical density at 9.208 g/cm³.

POSCAR file:
```
CoPtCl
1.0
-1.449 -0.292 -3.926
1.578 -2.881 -2.609
-2.328 -3.300 -1.137
Co Cl Pt
1 1 1
Cartesian
-1.649 -4.855 -5.754 Co
-1.099 -3.237 -3.836 Cl
0.000 0.000 0.000 Pt
```



The following is a DFT calculation (PBE) of Co2PtCl after structural relaxation.

Values from the calculation:
As for the total energy: -5.091 eV/atom. The uncorrected formation energy is 42 kJ per mole of atoms. The total moment is 1.17 μB per atom. The calculation puts the theoretical density at 10.051 g/cm³.

POSCAR file:
```
Co2PtCl
1.0
-0.488 2.457 -3.807
-2.977 -3.065 -1.582
-2.077 1.410 1.176
Co Pt Cl
2 1 1
Cartesian
0.000 0.000 0.000 Co
-1.733 -0.304 -2.695 Co
-1.283 1.933 -1.315 Pt
-2.527 -0.828 -0.203 Cl
```



The following is a DFT calculation (PBE) of Co2PtCl6 after structural relaxation.

Values from the calculation:
As for the total energy: -3.934 eV/atom. The uncorrected formation energy is -44 kJ per mole of atoms. The total moment is 0.67 μB per atom. The calculation puts the theoretical density at 3.752 g/cm³.

POSCAR file:
```
Co2PtCl6
1.0
-6.255 3.222 -0.146
2.797 -2.740 -8.041
-0.569 -8.922 -0.260
Co Cl Pt
4 12 2
Cartesian
-4.374 -1.532 -1.586 Co
0.347 -6.909 -6.861 Co
-0.522 -1.812 -3.188 Co
-3.505 -6.629 -5.259 Co
0.070 -3.885 -2.516 Cl
-0.569 -8.778 -2.410 Cl
-1.226 -6.638 -5.264 Cl
-5.190 -3.451 -0.634 Cl
0.009 -1.258 -5.348 Cl
-1.408 -2.964 -7.773 Cl
1.163 -4.990 -7.813 Cl
-4.097 -4.555 -5.931 Cl
-2.801 -1.802 -3.183 Cl
-2.618 -5.477 -0.674 Cl
-3.458 0.337 -6.037 Cl
-4.036 -7.182 -3.099 Cl
-4.645 -5.375 -1.792 Pt
0.618 -3.065 -6.655 Pt
```



The following is a DFT calculation (PBE) of Co2PtCl after structural relaxation.

Values from the calculation:
As for the total energy: -5.299 eV/atom. The uncorrected formation energy is 22 kJ per mole of atoms. The total moment is 1.06 μB per atom. The calculation puts the theoretical density at 10.393 g/cm³.

POSCAR file:
```
Co2PtCl
1.0
-4.266 -5.674 3.710
-2.769 -7.279 1.871
-1.610 -6.513 4.375
Co Pt Cl
2 1 1
Cartesian
-0.035 -0.080 0.041 Co
-4.287 -9.653 4.938 Co
-2.161 -4.867 2.489 Pt
-6.483 -14.600 7.468 Cl
```



The following is a DFT calculation (PBE) of Co2PtCl after structural relaxation.

Values from the calculation:
As for the total energy: -5.390 eV/atom. The uncorrected formation energy is 13 kJ per mole of atoms. The total moment is 1.18 μB per atom. The calculation puts the theoretical density at 8.817 g/cm³.

POSCAR file:
```
Co2PtCl
1.0
-2.626 0.042 1.105
-0.281 -3.539 -0.534
2.438 -1.077 5.833
Co Cl Pt
2 1 1
Cartesian
0.868 -3.131 2.180 Co
-0.070 -2.717 -0.064 Co
0.304 -3.442 4.527 Cl
-0.774 -1.133 1.878 Pt
```